No. 1
Crystalline Pm3In4Hg4 at its relaxed geometry. Source: Alexandria, functional PBE. Values from VASP.

ΔH_f (0 K) ... -31.7 kJ per mole of atoms
V ... 26.3 Å³/atom
Space-group type ... No. 71

Structure (Quantum ESPRESSO input):
```
&SYSTEM
  ibrav = 0, nat = 11, ntyp = 3
/
ATOMIC_SPECIES
Pm 145.00 Pm.upf
In 114.82 In.upf
Hg 200.59 Hg.upf
ATOMIC_POSITIONS angstrom
Pm -0.275 -1.502 1.195
Pm -4.803 -2.988 5.080
Pm -3.814 0.301 -0.499
In 0.732 -4.309 3.530
In -2.813 -0.418 3.137
In -5.809 -0.181 2.745
In -2.265 -4.073 3.138
Hg -4.321 -2.472 1.708
Hg -0.756 -2.018 4.567
Hg -6.305 1.944 0.994
Hg -1.564 1.570 1.614
CELL_PARAMETERS angstrom
-0.242 2.913 3.606
-7.628 0.602 -0.997
2.792 -8.005 3.667
```

=====

No. 2
Crystalline PmInHg2 at its relaxed geometry. Source: Alexandria, functional PBE. Values from VASP.

ΔH_f (0 K) ... -29.3 kJ per mole of atoms
V ... 26.0 Å³/atom
Space-group type ... No. 123

Structure (Quantum ESPRESSO input):
```
&SYSTEM
  ibrav = 0, nat = 4, ntyp = 3
/
ATOMIC_SPECIES
In 114.82 In.upf
Hg 200.59 Hg.upf
Pm 145.00 Pm.upf
ATOMIC_POSITIONS angstrom
In 1.878 1.878 0.000
Hg 0.000 0.000 5.588
Hg 0.000 0.000 1.777
Pm 1.878 1.878 3.683
CELL_PARAMETERS angstrom
3.757 0.000 0.000
0.000 3.757 0.000
0.000 0.000 7.366
```

=====

No. 3
Crystalline Pm3InHg at its relaxed geometry. Source: Alexandria, functional PBE. Values from VASP.

ΔH_f (0 K) ... -34.4 kJ per mole of atoms
V ... 29.7 Å³/atom
Space-group type ... No. 63

Structure (Quantum ESPRESSO input):
```
&SYSTEM
  ibrav = 0, nat = 10, ntyp = 3
/
ATOMIC_SPECIES
Pm 145.00 Pm.upf
In 114.82 In.upf
Hg 200.59 Hg.upf
ATOMIC_POSITIONS angstrom
Pm 4.068 1.352 2.214
Pm 2.352 1.352 9.721
Pm 3.212 1.352 5.961
Pm 1.440 4.057 1.572
Pm 4.999 4.057 10.284
Pm 0.581 4.057 5.332
In 2.779 4.057 7.852
In 1.013 1.352 3.440
Hg 3.661 4.057 3.997
Hg 5.406 1.352 8.501
CELL_PARAMETERS angstrom
5.274 0.000 1.205
0.000 5.409 0.000
0.373 0.000 10.511
```

=====

No. 4
Crystalline PmInHg3 at its relaxed geometry. Source: Alexandria, functional PBE. Values from VASP.

ΔH_f (0 K) ... -18.7 kJ per mole of atoms
V ... 29.0 Å³/atom
Space-group type ... No. 63

Structure (Quantum ESPRESSO input):
```
&SYSTEM
  ibrav = 0, nat = 10, ntyp = 3
/
ATOMIC_SPECIES
Pm 145.00 Pm.upf
In 114.82 In.upf
Hg 200.59 Hg.upf
ATOMIC_POSITIONS angstrom
Pm -2.688 2.063 6.356
Pm 0.561 1.172 3.135
In 0.280 3.562 5.796
In -2.406 -0.328 3.695
Hg -5.043 1.335 4.434
Hg -2.245 2.854 3.365
Hg 0.118 0.380 6.126
Hg 2.916 1.899 5.057
Hg 0.000 0.000 0.000
Hg -1.133 2.419 0.472
CELL_PARAMETERS angstrom
-2.266 4.838 0.945
-5.547 -3.012 2.119
5.686 1.408 6.428
```